(1)
VASP calculation (PBE) on crystalline Li2SiPd2Pb at its relaxed geometry.

```
Li2SiPd2Pb
1.0
-2.345 3.701 1.193
-1.009 -4.022 1.851
3.642 0.980 4.115
Pd Pb Li Si
2 1 2 1
direct
0.333 0.667 0.000
0.000 0.000 0.500
0.000 0.000 0.000
0.667 0.333 0.731
0.667 0.333 0.269
0.333 0.667 0.500
```

Properties
Uncorrected energy (eV per atom): -4.261

***

(2)
VASP calculation (PBE) on crystalline HoTm2Cd3Ir2Pt at its relaxed geometry.

```
HoTm2Cd3Ir2Pt
1.0
-3.713 -0.752 -0.917
1.767 -7.146 -1.289
-2.124 2.160 6.831
Ir Tm Ho Cd Pt
2 2 1 3 1
direct
0.500 0.332 0.667
0.500 0.667 0.332
0.000 0.000 0.406
0.000 0.406 0.000
0.000 0.594 0.594
0.500 0.000 0.739
0.500 0.261 0.261
0.500 0.739 0.000
0.000 0.002 0.002
```

Properties
ΔH_f (0 K) (eV per atom): -0.669
Uncorrected energy (eV per atom): -5.111

***

(3)
VASP calculation (PBE) on crystalline LiGaCoW at its relaxed geometry.

```
LiGaCoW
1.0
0.000 2.980 2.980
2.980 0.000 2.980
2.980 2.980 0.000
Co Ga Li W
1 1 1 1
direct
0.750 0.750 0.750
0.000 0.000 0.000
0.500 0.500 0.500
0.250 0.250 0.250
```

Properties
Uncorrected energy (eV per atom): -5.815

***

(4)
VASP calculation (PBE) on crystalline CoPtPbW at its relaxed geometry.

```
CoPtPbW
1.0
-2.421 -0.899 3.743
-4.476 -0.743 -0.311
-1.665 -4.177 0.683
Co Pb Pt W
1 1 1 1
direct
0.750 0.750 0.750
0.000 0.000 0.000
0.250 0.250 0.250
0.500 0.500 0.500
```

Properties
Uncorrected energy (eV per atom): -6.810

***

(5)
VASP calculation (PBE) on crystalline Cu at its relaxed geometry.

```
Cu
1.0
6.197 0.000 0.000
0.000 6.197 0.000
0.000 0.000 6.197
Cu
20
direct
0.200 0.450 0.125
0.691 0.691 0.691
0.809 0.309 0.191
0.300 0.550 0.625
0.559 0.441 0.941
0.059 0.059 0.059
0.700 0.050 0.875
0.875 0.700 0.050
0.125 0.200 0.450
0.950 0.375 0.800
0.375 0.800 0.950
0.550 0.625 0.300
0.050 0.875 0.700
0.625 0.300 0.550
0.800 0.950 0.375
0.309 0.191 0.809
0.450 0.125 0.200
0.941 0.559 0.441
0.191 0.809 0.309
0.441 0.941 0.559
```

Properties
ΔH_f (0 K) (eV per atom): 0.061
Uncorrected energy (eV per atom): -3.656

***

(6)
VASP calculation (PBE) on crystalline TaBSe at its relaxed geometry.

```
TaBSe
1.0
2.818 -1.627 0.000
2.818 1.627 0.000
-1.884 0.000 10.787
B Se Ta
2 2 2
direct
0.834 0.834 0.501
0.166 0.166 0.499
0.729 0.729 0.189
0.271 0.271 0.811
0.452 0.452 0.356
0.548 0.548 0.644
```

Properties
Uncorrected energy (eV per atom): -8.140

***

(7)
VASP calculation (PBE) on crystalline CdReAg2SeS3 at its relaxed geometry.

```
CdReAg2SeS3
1.0
-3.326 -2.249 -4.195
2.031 -5.313 1.169
-3.630 2.948 5.308
S Ag Se Re Cd
3 2 1 1 1
direct
0.604 0.158 0.765
0.158 0.604 0.765
0.389 0.389 0.225
0.270 0.742 0.510
0.742 0.270 0.510
0.844 0.844 0.240
0.490 0.490 0.991
0.002 0.002 0.994
```

Properties
Uncorrected energy (eV per atom): -4.456

***

(8)
VASP calculation (PBE) on crystalline LaSbIr at its relaxed geometry.

```
LaSbIr
1.0
7.157 0.000 0.000
-3.578 6.198 0.000
0.000 0.000 4.687
Ir La Sb
3 3 3
direct
0.230 0.000 0.000
0.000 0.230 0.000
0.770 0.770 0.000
0.436 0.436 0.500
0.564 0.000 0.500
0.000 0.564 0.500
0.000 0.000 0.500
0.667 0.333 0.000
0.333 0.667 0.000
```

Properties
Uncorrected energy (eV per atom): -6.711